Compound: BeGaPb2
Source: Alexandria
Functional: meta-GGA SCAN
Structure: single point on PBEsol structure

magnetization: 0.000 μB/f.u.
crystal system: cubic
space group: Fm-3m (225)
DOS(E_F): 0.60 states/eV/atom
E_form: 0.531 eV per atom
VASP energy: -170.138 eV per formula unit

POSCAR file:
```
BeGaPb2
1.0
7.077 0.000 0.000
0.000 7.077 0.000
0.000 0.000 7.077
Be Ga Pb
4 4 8
Direct
0.000 0.000 0.000
0.000 0.500 0.500
0.500 0.000 0.500
0.500 0.500 0.000
0.000 0.000 0.500
0.000 0.500 0.000
0.500 0.000 0.000
0.500 0.500 0.500
0.250 0.250 0.250
0.250 0.250 0.750
0.250 0.750 0.250
0.250 0.750 0.750
0.750 0.250 0.250
0.750 0.250 0.750
0.750 0.750 0.250
0.750 0.750 0.750
```